No. 1
A plane-wave DFT calculation with PBEsol was carried out for crystalline La12Re5C15 at its relaxed geometry.

Structure (extended XYZ):
```
32
Lattice="5.4052 0.0000 0.0000 0.0000 11.0783 0.0000 0.0000 -5.5392 9.5941" Properties=species:S:1:pos:R:3 pbc="T T T"
La 2.7026 1.1287 1.9550
La 2.7026 -4.4105 7.6391
La 2.7026 8.8209 0.0000
La 0.0000 7.0325 1.8024
La 0.0000 3.5838 2.6026
La 0.0000 1.4933 7.7918
La 0.0000 6.0012 5.1891
La 0.0000 -1.9554 6.9915
La 0.0000 0.4620 4.4050
La 2.7026 3.2178 5.5734
La 2.7026 -2.3214 4.0207
La 2.7026 4.6427 0.0000
Re 0.0000 4.6971 8.1357
Re 0.0000 -0.8420 1.4585
Re 0.0000 1.6841 0.0000
Re 2.7026 5.5392 3.1980
Re 2.7026 0.0000 6.3961
C 0.0000 3.7364 6.4716
C 0.0000 -1.8028 3.1225
C 0.0000 3.6056 0.0000
C 0.0000 1.1328 1.9621
C 0.0000 -4.4063 7.6320
C 0.0000 8.8127 0.0000
C 0.0000 3.0585 5.2975
C 0.0000 -2.4807 4.2966
C 0.0000 4.9613 0.0000
C 2.7026 6.8325 1.8030
C 2.7026 3.6844 2.7755
C 2.7026 1.2933 7.7911
C 2.7026 6.1006 5.0156
C 2.7026 -1.8548 6.8186
C 2.7026 0.5615 4.5785
```

The calculation puts the calculated total energy at -8.860 eV/atom. The size of the total moment is 0.00 Bohr magnetons per cell. The value obtained for the formation energy is -775 kJ/mol of formula units.

No. 2
A plane-wave DFT calculation with PBEsol was carried out for crystalline Ge2N2O at its relaxed geometry.

Structure (extended XYZ):
```
10
Lattice="3.0667 0.0000 0.0000 0.0000 4.8438 0.0000 -1.5334 0.0000 8.8470" Properties=species:S:1:pos:R:3 pbc="T T T"
Ge 0.0000 3.4268 1.0124
Ge 0.0000 0.0978 5.1532
Ge 1.5334 2.5197 3.6938
Ge 1.5334 1.0049 7.8346
N 0.0000 0.6363 6.9061
N 0.0000 1.5872 4.0302
N 1.5334 4.0090 4.8168
N 1.5334 3.0582 1.9409
O 0.0000 0.3066 0.6061
O 1.5334 2.7285 8.2409
```

The calculation puts the calculated total energy at -7.056 eV/atom. The size of the total moment is 0.00 Bohr magnetons per cell. As for the uncorrected formation energy: -620 meV/atom.

No. 3
A plane-wave DFT calculation with PBEsol was carried out for crystalline Al2TcF at its relaxed geometry.

Structure (extended XYZ):
```
4
Lattice="4.3097 0.0000 0.0000 2.1548 3.7323 0.0000 2.1548 1.2441 3.5188" Properties=species:S:1:pos:R:3 pbc="T T T"
F 0.0000 0.0000 0.0000
Tc 4.3097 2.4882 1.7594
Al 2.1548 1.2441 0.8797
Al 6.4645 3.7323 2.6391
```

The calculation puts the calculated total energy at -5.481 eV/atom. The size of the total moment is 1.46 Bohr magnetons per cell. As for the uncorrected formation energy: -137 meV/atom.

No. 4
A plane-wave DFT calculation with PBEsol was carried out for crystalline CrIn2As at its relaxed geometry.

Structure (extended XYZ):
```
4
Lattice="-1.3489 0.8405 -3.3238 -3.7253 0.5938 1.6620 3.0335 4.7834 -0.0215" Properties=species:S:1:pos:R:3 pbc="T T T"
As -1.4002 2.3031 1.1507
Cr -2.4236 1.2094 -0.7524
In -0.7548 5.1036 1.5969
In -0.0141 3.2853 -1.2053
```

The calculation puts the calculated total energy at -5.161 eV/atom. The size of the total moment is 2.60 Bohr magnetons per cell. The value obtained for the formation energy is 64 kJ/mol of formula units.

What is the size of the total moment in the third record?
1.46 Bohr magnetons per cell

size of the total moment of number 3 (Al2TcF)?
1.46 Bohr magnetons per cell